A relaxed structure of LaNd2TmAs4. Source: Alexandria, functional PBE.

a = 7.354 Å, b = 4.253 Å, c = 7.360 Å
α = 90.00°, β = 109.43°, γ = 90.00°
Atoms (fractional coordinates):
La1 0.000 0.000 0.000
Nd1 0.000 0.500 0.500
Nd2 0.500 0.000 0.500
Tm1 0.500 0.500 0.000
As1 0.257 0.500 0.248
As2 0.260 0.000 0.757
As3 0.740 0.000 0.243
As4 0.743 0.500 0.752

Results
For the formation energy, the calculation gives -1.505 eV/atom. Its space-group type is No. 10.

---

A relaxed structure of Pm6Tm12Pb. Source: Alexandria, functional PBE.

a = 8.442 Å, b = 8.442 Å, c = 8.442 Å
α = 88.97°, β = 88.97°, γ = 88.97°
Atoms (fractional coordinates):
Pm1 0.187 0.756 0.589
Pm2 0.244 0.411 0.813
Pm3 0.411 0.813 0.244
Pm4 0.589 0.187 0.756
Pm5 0.756 0.589 0.187
Pm6 0.813 0.244 0.411
Tm1 0.043 0.934 0.273
Tm2 0.066 0.727 0.957
Tm3 0.145 0.491 0.297
Tm4 0.273 0.043 0.934
Tm5 0.297 0.145 0.491
Tm6 0.491 0.297 0.145
Tm7 0.509 0.703 0.855
Tm8 0.703 0.855 0.509
Tm9 0.727 0.957 0.066
Tm10 0.855 0.509 0.703
Tm11 0.934 0.273 0.043
Tm12 0.957 0.066 0.727
Pb1 0.500 0.500 0.500

Results
For the formation energy, the calculation gives 0.063 eV/atom. Its space-group type is No. 148.

---

A relaxed structure of Zr2ZnPt. Source: Alexandria, functional PBE.

a = 8.836 Å, b = 8.836 Å, c = 8.836 Å
α = 21.35°, β = 21.35°, γ = 21.35°
Atoms (fractional coordinates):
Zr1 0.000 0.000 0.000
Zr2 0.237 0.237 0.237
Zn1 0.483 0.483 0.483
Pt1 0.745 0.745 0.745

Results
For the formation energy, the calculation gives -0.272 eV/atom. Its space-group type is No. 160.